This record from Alexandria via LeMat-Bulk describes a relaxed structure of RbCoBr3. The functional is GGA-PBE.

Summary:
**Total moment**: 18.07 μB per cell
**Formation energy without anion corrections**: -0.88 eV/atom

Unit cell a=13.0327 b=13.0327 c=6.2325 alpha=90.00 beta=90.00 gamma=120.00
Atoms (fractional coordinates):
Rb: 0.9997 0.3324 0.0000
Rb: 0.9997 0.6673 0.5000
Rb: 0.3327 0.0003 0.0000
Rb: 0.3327 0.3324 0.5000
Rb: 0.6676 0.0003 0.5000
Rb: 0.6676 0.6673 0.0000
Co: 0.0000 0.0000 0.2383
Co: 0.0000 0.0000 0.7383
Co: 0.3333 0.6667 0.2818
Co: 0.3333 0.6667 0.7818
Co: 0.6667 0.3333 0.2231
Co: 0.6667 0.3333 0.7231
Br: 0.0002 0.1584 0.4880
Br: 0.0002 0.8418 0.9880
Br: 0.1582 0.9998 0.4880
Br: 0.1582 0.1584 0.9880
Br: 0.1750 0.5085 0.5329
Br: 0.1750 0.6665 0.0329
Br: 0.3335 0.5085 0.0329
Br: 0.3335 0.8250 0.5329
Br: 0.4915 0.6665 0.5329
Br: 0.4915 0.8250 0.0329
Br: 0.5086 0.1750 0.4722
Br: 0.5086 0.3336 0.9722
Br: 0.6664 0.1750 0.9722
Br: 0.6664 0.4914 0.4722
Br: 0.8250 0.3336 0.4722
Br: 0.8250 0.4914 0.9722
Br: 0.8416 0.9998 0.9880
Br: 0.8416 0.8418 0.4880


This record from Alexandria via LeMat-Bulk describes a relaxed structure of Rb2Co3Br9. The functional is GGA-PBE.

Summary:
**Total moment**: 19.86 μB per cell
**Formation energy without anion corrections**: -0.62 eV/atom

Unit cell a=10.6373 b=10.6373 c=10.6712 alpha=105.35 beta=105.35 gamma=112.11
Atoms (fractional coordinates):
Rb: 0.0942 0.7660 0.7085
Rb: 0.2340 0.9058 0.2915
Rb: 0.7660 0.0942 0.7085
Rb: 0.9058 0.2340 0.2915
Co: 0.2119 0.4405 0.8073
Co: 0.3614 0.3614 0.1654
Co: 0.4405 0.2119 0.8073
Co: 0.5595 0.7881 0.1927
Co: 0.6386 0.6386 0.8346
Co: 0.7881 0.5595 0.1927
Br: 0.0266 0.5991 0.3450
Br: 0.1385 0.3407 0.9783
Br: 0.1963 0.1963 0.6708
Br: 0.2360 0.2360 0.2853
Br: 0.2938 0.7062 0.0000
Br: 0.3407 0.1385 0.9783
Br: 0.3725 0.5730 0.7054
Br: 0.4009 0.9734 0.6550
Br: 0.4270 0.6275 0.2946
Br: 0.5730 0.3725 0.7054
Br: 0.5991 0.0266 0.3450
Br: 0.6275 0.4270 0.2946
Br: 0.6593 0.8615 0.0217
Br: 0.7062 0.2938 0.0000
Br: 0.7640 0.7640 0.7147
Br: 0.8037 0.8037 0.3292
Br: 0.8615 0.6593 0.0217
Br: 0.9734 0.4009 0.6550


This record from Alexandria via LeMat-Bulk describes a relaxed structure of RbCoBr2. The functional is GGA-PBE.

Summary:
**ΔE to the lowest computed polymorph**: 0.00 eV per formula unit
**Total moment**: 4.00 μB per cell
**Formation energy without anion corrections**: -0.66 eV/atom

Unit cell a=6.7831 b=6.7831 c=6.7831 alpha=109.67 beta=109.67 gamma=109.06
Atoms (fractional coordinates):
Rb: 0.0000 0.0000 0.0000
Rb: 0.7500 0.2500 0.5000
Co: 0.2500 0.7500 0.5000
Co: 0.5000 0.5000 0.0000
Br: 0.2336 0.6250 0.1086
Br: 0.3750 0.4836 0.6086
Br: 0.5164 0.1250 0.8914
Br: 0.8750 0.7664 0.3914


This record from Alexandria via LeMat-Bulk describes a relaxed structure of Rb3CoBr8. The functional is GGA-PBE.

Summary:
**Total moment**: 2.54 μB per cell
**Formation energy without anion corrections**: -0.72 eV/atom

Unit cell a=8.4637 b=8.4637 c=8.4637 alpha=119.66 beta=119.66 gamma=90.59
Atoms (fractional coordinates):
Rb: 0.0000 0.0000 0.0000
Rb: 0.2500 0.7500 0.5000
Rb: 0.7500 0.2500 0.5000
Co: 0.5000 0.5000 0.0000
Br: 0.1621 0.1621 0.5728
Br: 0.1621 0.5894 0.0000
Br: 0.4106 0.4106 0.5728
Br: 0.4106 0.8379 0.0000
Br: 0.5894 0.1621 0.0000
Br: 0.5894 0.5894 0.4272
Br: 0.8379 0.4106 0.0000
Br: 0.8379 0.8379 0.4272